No. 1
BeZnInO2: optimized geometry, PBE.

Computed properties:
volume	16.41	A^3/atom
formation energy from raw total energies	0.332	eV/atom
symmetry	P4/mmm, No. 123

Lattice parameters (Å, degrees): 4.0680 4.9569 4.0680 90.00 90.00 90.00
Fractional coordinates of all 5 atoms:
O 0.5000 0.0000 0.0000
O 0.0000 0.0000 0.5000
In 0.0000 0.0000 0.0000
Zn 0.5000 0.5000 0.5000
Be 0.0000 0.5000 0.0000

---

No. 2
BeInOs2: optimized geometry, PBE.

Computed properties:
volume	15.07	A^3/atom
DFT total energy	-26.2	eV per cell
symmetry	Cmmm, No. 65

Lattice parameters (Å, degrees): 4.7237 4.7237 2.9331 90.00 90.00 112.93
Fractional coordinates of all 4 atoms:
In 0.0000 0.5000 0.5000
Be 0.5000 0.0000 0.5000
Os 0.0000 0.0000 0.0000
Os 0.5000 0.5000 0.0000

---

No. 3
BeInOs2: optimized geometry, PBE.

Computed properties:
volume	14.24	A^3/atom
DFT total energy	-27.8	eV per cell
symmetry	P4/mmm, No. 123

Lattice parameters (Å, degrees): 2.9278 2.9278 6.6437 90.00 90.00 90.00
Fractional coordinates of all 4 atoms:
Os 0.0000 0.0000 0.4415
Os 0.0000 0.0000 0.0585
Be 0.5000 0.5000 0.2500
In 0.5000 0.5000 0.7500

---

No. 4
BeInOs2: optimized geometry, PBE.

Computed properties:
volume	15.03	A^3/atom
DFT total energy	-26.5	eV per cell
symmetry	C2/m, No. 12

Lattice parameters (Å, degrees): 5.2073 5.2073 2.8021 75.68 75.68 116.36
Fractional coordinates of all 4 atoms:
Be 0.5000 0.0000 0.5000
Os 0.0000 0.0000 0.0000
Os 0.5000 0.5000 0.0000
In 0.0000 0.5000 0.5000

---

No. 5
BeInOs2: optimized geometry, PBE.

Computed properties:
volume	14.54	A^3/atom
DFT total energy	-27.0	eV per cell
symmetry	Imm2, No. 44

Lattice parameters (Å, degrees): 5.1349 5.1349 5.1349 145.64 129.73 62.31
Fractional coordinates of all 4 atoms:
In 0.2627 0.7627 0.5000
Os 0.9849 0.9849 0.0000
Os 0.7313 0.2313 0.5000
Be 0.5210 0.5210 0.0000

---

No. 6
BeInOs2: optimized geometry, PBE.

Computed properties:
volume	14.95	A^3/atom
DFT total energy	-26.5	eV per cell
symmetry	Pmmm, No. 47

Lattice parameters (Å, degrees): 2.9414 4.6528 4.3700 90.00 90.00 90.00
Site moments in Bohr magnetons follow the coordinates.
Fractional coordinates of all 4 atoms:
Be 0.5000 0.0000 0.5000  0.00
Os 0.5000 0.5000 0.0000  0.07
Os 0.0000 0.0000 0.0000  0.12
In 0.0000 0.5000 0.5000  0.00